First-principles (PBE+U) data for Li4MnCrO6 after structural relaxation, as listed in the Alexandria database.

Geometry as POSCAR:
```
Li4MnCrO6
1.0
-0.8946 3.9535 -2.9424
0.7076 -4.5024 -2.0774
-4.6547 -0.6761 2.0114
O Li Mn Cr
6 4 1 1
Cartesian
-4.1656 2.8620 -1.4209
-3.5667 -0.1839 -1.1442
-1.2500 -1.0583 -1.8973
-3.0734 -2.8669 -0.6680
-0.6944 -4.1053 -1.5507
-1.7667 1.6336 -2.3395
0.3498 -2.2303 -1.0408
-4.6471 -1.8679 -1.6737
-4.8424 -0.0695 0.6804
-2.0727 -2.8336 -2.5460
-2.5996 -0.0530 -2.8304
-2.2475 -1.1436 -0.1809
```

Summary:
The value obtained for the calculated total energy is -0.2286 hartree per atom. Its crystal system is monoclinic. For the total moment, the calculation gives 5.00 μB per formula unit.